*A*
This record from Alexandria via LeMat-Bulk describes a relaxed structure of LaY2Cl. The functional is GGA-PBE.

The structure in CIF format:
```
data_LaY2Cl
_chemical_formula_sum 'La1 Y2 Cl1'
_cell_length_a 5.8449
_cell_length_b 5.8449
_cell_length_c 3.5577
_cell_angle_alpha 90.00
_cell_angle_beta 90.00
_cell_angle_gamma 90.00
_space_group_name_H-M_alt 'P 1'
_space_group_IT_number 1
_space_group_name_Hall 'P 1'
loop_
_atom_site_label
_atom_site_fract_x
_atom_site_fract_y
_atom_site_fract_z
Cl1 0.5000 0.0000 0.5000
La1 0.0000 0.5000 0.5000
Y1 0.0000 0.0000 0.0000
Y2 0.5000 0.5000 0.0000
```

## Properties
For the density of states at the Fermi level, the calculation gives 4.7 states/eV/f.u.

***

*B*
This record from Alexandria via LeMat-Bulk describes a relaxed structure of LaY2Cl. The functional is GGA-PBE.

The structure in CIF format:
```
data_LaY2Cl
_chemical_formula_sum 'La1 Y2 Cl1'
_cell_length_a 3.5337
_cell_length_b 3.5337
_cell_length_c 9.6040
_cell_angle_alpha 90.00
_cell_angle_beta 90.00
_cell_angle_gamma 90.00
_space_group_name_H-M_alt 'P 1'
_space_group_IT_number 1
_space_group_name_Hall 'P 1'
loop_
_atom_site_label
_atom_site_fract_x
_atom_site_fract_y
_atom_site_fract_z
Cl1 0.0000 0.0000 0.4934
La1 0.5000 0.5000 0.7228
Y1 0.0000 0.0000 0.0130
Y2 0.5000 0.5000 0.2708
```

## Properties
For the density of states at the Fermi level, the calculation gives 4.5 states/eV/f.u.

***

From most stable to least stable, the computed energies give *B*, *A*.

***

*A*
This record from Alexandria via LeMat-Bulk describes a relaxed structure of SiNiPH. The functional is GGA-PBE.

The structure in CIF format:
```
data_SiNiPH
_chemical_formula_sum 'Si1 Ni1 P1 H1'
_cell_length_a 2.6199
_cell_length_b 3.9339
_cell_length_c 5.3021
_cell_angle_alpha 69.48
_cell_angle_beta 74.93
_cell_angle_gamma 70.24
_space_group_name_H-M_alt 'P 1'
_space_group_IT_number 1
_space_group_name_Hall 'P 1'
loop_
_atom_site_label
_atom_site_fract_x
_atom_site_fract_y
_atom_site_fract_z
Si1 0.3288 0.7190 0.8772
Ni1 0.7857 0.1316 0.5538
P1 0.1346 0.6522 0.3382
H1 0.5471 0.3060 0.8466
```

## Properties
For the density of states at the Fermi level, the calculation gives 1.3 states/eV/f.u.

***

*B*
This record from Alexandria via LeMat-Bulk describes a relaxed structure of SiNiPH. The functional is GGA-PBE.

The structure in CIF format:
```
data_SiNiPH
_chemical_formula_sum 'Si2 Ni2 P2 H2'
_cell_length_a 4.5531
_cell_length_b 3.6377
_cell_length_c 6.6210
_cell_angle_alpha 90.00
_cell_angle_beta 117.76
_cell_angle_gamma 90.00
_space_group_name_H-M_alt 'P 1'
_space_group_IT_number 1
_space_group_name_Hall 'P 1'
loop_
_atom_site_label
_atom_site_fract_x
_atom_site_fract_y
_atom_site_fract_z
Si1 0.2209 0.0000 0.3531
Si2 0.2209 0.5000 0.8531
Ni1 0.4352 0.0000 0.7584
Ni2 0.4352 0.5000 0.2584
P1 0.6472 0.0000 0.1432
P2 0.6472 0.5000 0.6432
H1 0.0808 0.0000 0.5538
H2 0.0808 0.5000 0.0538
```

## Properties
For the density of states at the Fermi level, the calculation gives 0.7 states/eV/f.u.

***

From most stable to least stable, the computed energies give *B*, *A*.

***

*A*
This record from Alexandria via LeMat-Bulk describes a relaxed structure of KIrRu. The functional is GGA-PBE.

The structure in CIF format:
```
data_KIrRu
_chemical_formula_sum 'K2 Ir2 Ru2'
_cell_length_a 2.7730
_cell_length_b 4.3136
_cell_length_c 12.3553
_cell_angle_alpha 90.00
_cell_angle_beta 95.19
_cell_angle_gamma 90.00
_space_group_name_H-M_alt 'P 1'
_space_group_IT_number 1
_space_group_name_Hall 'P 1'
loop_
_atom_site_label
_atom_site_fract_x
_atom_site_fract_y
_atom_site_fract_z
Ru1 0.0267 0.2500 0.0645
Ru2 0.9733 0.7500 0.9355
K1 0.1126 0.2500 0.3246
K2 0.8874 0.7500 0.6754
Ir1 0.4515 0.2500 0.8788
Ir2 0.5485 0.7500 0.1212
```

## Properties
For the density of states at the Fermi level, the calculation gives 3.4 states/eV/f.u.

***

*B*
This record from Alexandria via LeMat-Bulk describes a relaxed structure of KIrRu. The functional is GGA-PBE.

The structure in CIF format:
```
data_KIrRu
_chemical_formula_sum 'K1 Ir1 Ru1'
_cell_length_a 7.6288
_cell_length_b 7.6288
_cell_length_c 7.6288
_cell_angle_alpha 158.53
_cell_angle_beta 158.53
_cell_angle_gamma 30.55
_space_group_name_H-M_alt 'P 1'
_space_group_IT_number 1
_space_group_name_Hall 'P 1'
loop_
_atom_site_label
_atom_site_fract_x
_atom_site_fract_y
_atom_site_fract_z
Ir1 0.0263 0.0263 0.0000
K1 0.3378 0.3378 0.0000
Ru1 0.6359 0.6359 0.0000
```

## Properties
For the density of states at the Fermi level, the calculation gives 3.8 states/eV/f.u.

***

From most stable to least stable, the computed energies give *A*, *B*.

***

*A*
This record from Alexandria via LeMat-Bulk describes a relaxed structure of FeCuOs. The functional is GGA-PBE.

The structure in CIF format:
```
data_FeCuOs
_chemical_formula_sum 'Fe1 Cu1 Os1'
_cell_length_a 3.8995
_cell_length_b 3.8995
_cell_length_c 3.8995
_cell_angle_alpha 60.00
_cell_angle_beta 60.00
_cell_angle_gamma 60.00
_space_group_name_H-M_alt 'P 1'
_space_group_IT_number 1
_space_group_name_Hall 'P 1'
loop_
_atom_site_label
_atom_site_fract_x
_atom_site_fract_y
_atom_site_fract_z
Cu1 0.5000 0.5000 0.5000
Fe1 0.7500 0.7500 0.7500
Os1 0.0000 0.0000 0.0000
```

## Properties
For the density of states at the Fermi level, the calculation gives 2.4 states/eV/f.u.

***

*B*
This record from Alexandria via LeMat-Bulk describes a relaxed structure of FeCuOs. The functional is GGA-PBE.

The structure in CIF format:
```
data_FeCuOs
_chemical_formula_sum 'Fe1 Cu1 Os1'
_cell_length_a 6.7928
_cell_length_b 6.5937
_cell_length_c 2.5874
_cell_angle_alpha 83.22
_cell_angle_beta 74.56
_cell_angle_gamma 22.22
_space_group_name_H-M_alt 'P 1'
_space_group_IT_number 1
_space_group_name_Hall 'P 1'
loop_
_atom_site_label
_atom_site_fract_x
_atom_site_fract_y
_atom_site_fract_z
Cu1 0.9953 0.9953 0.0047
Fe1 0.3343 0.3343 0.6657
Os1 0.6704 0.6704 0.3296
```

## Properties
For the density of states at the Fermi level, the calculation gives 3.3 states/eV/f.u.

***

From most stable to least stable, the computed energies give *B*, *A*.